{
  "formula": "AcTbHo4",
  "functional": "GGA-PBE",
  "state": "optimized geometry",
  "cell": [[5.7067, 0.0000, 0.0000], [-2.8533, 4.9421, 0.0000], [0.0000, 0.0000, 7.0172]],
  "species": ["Ac", "Tb", "Ho", "Ho", "Ho", "Ho"],
  "fractional_positions": [[0.0000, 0.0000, 0.0000], [0.0000, 0.0000, 0.5000], [0.3333, 0.6667, 0.2578], [0.3333, 0.6667, 0.7422], [0.6667, 0.3333, 0.2578], [0.6667, 0.3333, 0.7422]],
  "final_energy_ev_per_atom": -4.431,
  "n_ef_per_ev_cell": 9.4,
  "e_form_ev_per_atom": 0.077
}

{
  "formula": "AcTb2Ho",
  "functional": "GGA-PBE",
  "state": "optimized geometry",
  "cell": [[0.0000, 4.1201, 4.1201], [4.1201, 0.0000, 4.1201], [4.1201, 4.1201, 0.0000]],
  "species": ["Ac", "Tb", "Tb", "Ho"],
  "fractional_positions": [[0.0000, 0.0000, 0.0000], [0.2500, 0.2500, 0.2500], [0.7500, 0.7500, 0.7500], [0.5000, 0.5000, 0.5000]],
  "final_energy_ev_per_atom": -4.337,
  "n_ef_per_ev_cell": 7.5,
  "e_form_ev_per_atom": 0.150
}

{
  "formula": "AcTb8Ho2",
  "functional": "GGA-PBE",
  "state": "optimized geometry",
  "cell": [[9.7290, -3.5173, 0.0000], [9.7290, 3.5173, 0.0000], [-0.3154, 0.0000, 5.5063]],
  "species": ["Ac", "Tb", "Tb", "Tb", "Tb", "Tb", "Tb", "Tb", "Tb", "Ho", "Ho"],
  "fractional_positions": [[0.0000, 0.0000, 0.0000], [0.1326, 0.5944, 0.2705], [0.1907, 0.1907, 0.2342], [0.4056, 0.8674, 0.7295], [0.4530, 0.4530, 0.7601], [0.5470, 0.5470, 0.2399], [0.5944, 0.1326, 0.2705], [0.8093, 0.8093, 0.7658], [0.8674, 0.4056, 0.7295], [0.2852, 0.2852, 0.7524], [0.7148, 0.7148, 0.2476]],
  "final_energy_ev_per_atom": -4.447,
  "n_ef_per_ev_cell": 17.3,
  "e_form_ev_per_atom": 0.127
}

{
  "formula": "Ac2Tb3Ho4",
  "functional": "GGA-PBE",
  "state": "optimized geometry",
  "cell": [[3.6753, 0.0000, 0.0000], [-1.8377, 3.1829, 0.0000], [0.0000, 0.0000, 26.7260]],
  "species": ["Ac", "Ac", "Tb", "Tb", "Tb", "Ho", "Ho", "Ho", "Ho"],
  "fractional_positions": [[0.0000, 0.0000, 0.0000], [0.0000, 0.0000, 0.2308], [0.0000, 0.0000, 0.7810], [0.3333, 0.6667, 0.1176], [0.3333, 0.6667, 0.4684], [0.0000, 0.0000, 0.3656], [0.0000, 0.0000, 0.5733], [0.3333, 0.6667, 0.6764], [0.3333, 0.6667, 0.8852]],
  "final_energy_ev_per_atom": -4.405,
  "n_ef_per_ev_cell": 15.2,
  "e_form_ev_per_atom": 0.086
}